Entry 1:
# Rb2ReH2

Crystalline Rb2ReH2 at its relaxed geometry (PBE, Alexandria).

Properties
**D(E_F)**: 0.43 states/eV/atom
**Magnetization**: 0.8985 μB/atom
**Distance to the lowest polymorph of the same formula**: 0.0 meV/atom

Cell: 8.7186 8.7186 3.1154 Å, 90.00 90.00 90.00°
Closest atoms and distances in Å follow each position.
Space group P4/mbm (No. 127)
Asymmetric unit:
Rb: 0.1447 0.3553 0.0000  6 H 2.99, 2 Rb 3.12, 2 Re 3.34
Re: 0.0000 0.0000 0.0000  2 Re 3.12, 4 Rb 3.34
H: 0.1485 0.6485 0.5000  6 Rb 2.99, 2 H 3.12

Entry 2:
# YHo8Er6

Crystalline YHo8Er6 at its relaxed geometry (PBE, Alexandria).

Properties
**D(E_F)**: 1.50 states/eV/atom
**Magnetization**: 0.0000 μB/atom
**Distance to the lowest polymorph of the same formula**: 103.5 meV/atom
**Formation energy from the elements**: 0.24 eV/atom

Cell: 9.3303 9.3303 6.4481 Å, 90.00 90.00 120.00°
Closest atoms and distances in Å follow each position.
Space group P-3 (No. 147)
Asymmetric unit:
Y: 0.0000 0.0000 0.0000  6 Er 3.56, 6 Ho 3.98
Ho: 0.0234 0.6880 0.4019  4 Er 3.18-3.56, 5 Ho 3.28-3.55
Ho: 0.3333 0.6667 0.6664  6 Ho 3.35-3.45, 3 Er 3.57
Er: 0.0954 0.4148 0.0922  1 Er 3.15, 3 Ho 3.18-3.42

Entry 3:
# AcPmSbTe

Crystalline AcPmSbTe at its relaxed geometry (PBE, Alexandria).

Properties
**Uncorrected formation energy**: -1.133 eV per atom
**D(E_F)**: 0.91 states/eV/atom
**Magnetization**: 0.0570 μB/atom
**Distance to the lowest polymorph of the same formula**: 0.0 meV/atom

Cell: 7.9670 7.9670 7.9670 Å, 90.00 90.00 90.00°
Closest atoms and distances in Å follow each position.
Space group F-43m (No. 216)
Asymmetric unit:
Ac: 0.0000 0.0000 0.0000  4 Sb 3.45, 4 Te 3.45
Pm: 0.0000 0.0000 0.5000  4 Te 3.45, 4 Sb 3.45
Sb: 0.2500 0.2500 0.2500  4 Ac 3.45, 4 Pm 3.45
Te: 0.2500 0.2500 0.7500  4 Ac 3.45, 4 Pm 3.45